[1]
A geometry-optimized Eu3ZnP structure, computed with GGA-PBE.

- DFT total energy (eV per atom) = -7.918
- energy of formation from the pure elements (meV/atom) = -416

```
Eu3ZnP
1.0
5.645 0.000 0.000
0.000 5.645 0.000
0.000 0.000 5.645
Eu P Zn
3 1 1
direct
0.000 0.500 0.000
0.000 0.000 0.500
0.500 0.000 0.000
0.000 0.000 0.000
0.500 0.500 0.500
```

***

[2]
A geometry-optimized Eu2ZnP structure, computed with GGA-PBE.

- DFT total energy (eV per atom) = -7.419
- energy relative to the lowest polymorph listed for this composition (meV/atom) = 63
- energy of formation from the pure elements (meV/atom) = -610

```
Eu2ZnP
1.0
5.164 0.000 0.000
2.582 4.472 0.000
2.582 1.491 4.216
Eu P Zn
2 1 1
direct
0.250 0.250 0.250
0.750 0.750 0.750
0.000 0.000 0.000
0.500 0.500 0.500
```